# 1
YTcTe2: PBEsol geometry, meta-GGA SCAN.

Lattice parameters (Å, degrees): 3.7886 3.8295 6.8317 106.28 106.10 90.00
Each line ends with the local moment (μB).
Fractional positions:
Tc 0.2922 0.7922 0.5844  0.49
Y 0.5415 0.5415 0.0830  -0.03
Te 0.9437 0.9437 0.8874  0.00
Te 0.7226 0.2226 0.4451  -0.01

The calculation puts the energy relative to the lowest polymorph listed for this composition at 0.0 kJ per mole of atoms. The value obtained for the uncorrected formation energy is -461 meV per atom.

***

# 2
Li2SiPt: PBEsol geometry, meta-GGA SCAN.

Lattice parameters (Å, degrees): 3.3984 3.6954 4.8676 112.31 110.43 90.00
Fractional positions:
Li 0.7504 0.7504 0.5008
Li 0.2496 0.2496 0.4992
Pt 0.5000 0.0000 0.0000
Si 0.0000 0.5000 0.0000

The value obtained for the uncorrected formation energy is -621 meV per atom.

***

# 3
NiSb2Rh: PBEsol geometry, meta-GGA SCAN.

Lattice parameters (Å, degrees): 3.8411 3.8411 5.4063 110.81 110.81 90.00
Fractional positions:
Rh 0.2500 0.7500 0.5000
Sb 0.0000 0.0000 0.0000
Sb 0.7500 0.2500 0.5000
Ni 0.5000 0.5000 0.0000

The value obtained for the uncorrected formation energy is 134 meV per atom.

***

# 4
Hf2CoAgS: PBEsol geometry, meta-GGA SCAN.

Lattice parameters (Å, degrees): 3.9939 4.7265 4.7265 90.00 90.00 90.00
Each line ends with the local moment (μB).
Fractional positions:
Co 0.5000 0.0000 0.0000  1.20
Hf 0.0000 0.0000 0.5000  0.07
Ag 0.5000 0.5000 0.5000  0.02
S 0.0000 0.0000 0.0000  0.01
Hf 0.0000 0.5000 0.0000  0.07

The value obtained for the uncorrected formation energy is -194 meV per atom.

***

# 5
Li3Fe4NiO8: PBEsol geometry, meta-GGA SCAN.

Lattice parameters (Å, degrees): 5.7402 5.6729 8.0696 134.67 90.00 120.39
Each line ends with the local moment (μB).
Fractional positions:
O 0.0198 0.0395 0.2598  0.02
O 0.9802 0.9605 0.7402  0.02
Li 0.0000 0.0000 0.5000  0.00
Fe 0.5000 0.5000 0.5000  0.90
O 0.9967 0.4783 0.2484  0.06
Fe 0.5000 0.0000 0.5000  3.87
Li 0.5000 0.5000 0.0000  0.00
O 0.4817 0.4783 0.2484  0.06
Fe 0.0000 0.5000 0.5000  0.90
O 0.0033 0.5217 0.7516  0.06
O 0.4817 0.9634 0.7334  0.03
Fe 0.0000 0.0000 0.0000  0.50
O 0.5183 0.0366 0.2666  0.03
O 0.5183 0.5217 0.7516  0.06
Li 0.0000 0.5000 0.0000  0.00
Ni 0.5000 0.0000 0.0000  -1.54

The value obtained for the uncorrected formation energy is -1736 meV per atom.

***

# 6
LiMgAl2Se: PBEsol geometry, meta-GGA SCAN.

Lattice parameters (Å, degrees): 4.8648 5.0548 5.0548 90.00 90.00 90.00
Fractional positions:
Mg 0.0000 0.0000 0.0000
Al 0.0000 0.0000 0.5000
Al 0.0000 0.5000 0.0000
Li 0.5000 0.0000 0.0000
Se 0.5000 0.5000 0.5000

The value obtained for the uncorrected formation energy is 623 meV per atom.

***

# 7
KZnCd2: PBEsol geometry, meta-GGA SCAN.

Lattice parameters (Å, degrees): 3.4131 3.4131 8.4494 90.00 90.00 90.00
Fractional positions:
K 0.5000 0.5000 0.0000
Zn 0.5000 0.5000 0.5000
Cd 0.0000 0.0000 0.6857
Cd 0.0000 0.0000 0.3143

The value obtained for the formation enthalpy at 0 K is 0.3 eV/f.u.

***

# 8
ZnCo2Re: PBEsol geometry, meta-GGA SCAN.

Lattice parameters (Å, degrees): 2.6897 4.1892 4.3132 90.00 90.00 90.00
Each line ends with the local moment (μB).
Fractional positions:
Zn 0.0000 0.5000 0.5000  -0.02
Re 0.5000 0.5000 0.0000  0.13
Co 0.0000 0.0000 0.0000  1.87
Co 0.5000 0.0000 0.5000  1.72

The value obtained for the formation enthalpy at 0 K is 1.3 eV/f.u.

***

# 9
Mn4SiAs: PBEsol geometry, meta-GGA SCAN.

Lattice parameters (Å, degrees): 4.6646 4.6646 4.6646 60.00 60.00 60.00
Each line ends with the local moment (μB).
Fractional positions:
Mn 0.3751 0.3751 0.8746  2.08
Mn 0.3751 0.8746 0.3751  2.08
Si 0.7500 0.7500 0.7500  -0.13
As 0.0000 0.0000 0.0000  -0.08
Mn 0.3751 0.3751 0.3751  2.08
Mn 0.8746 0.3751 0.3751  2.08

The value obtained for the uncorrected formation energy is 253 meV per atom.

***

# 10
LaHf2HN: PBEsol geometry, meta-GGA SCAN.

Lattice parameters (Å, degrees): 3.8701 3.8701 6.2427 90.00 90.00 90.00
Fractional positions:
Hf 0.0000 0.5000 0.0000
La 0.5000 0.5000 0.5000
H 0.0000 0.0000 0.0000
N 0.0000 0.0000 0.5000
Hf 0.5000 0.0000 0.0000

***

# 11
CoRe2Au: PBEsol geometry, meta-GGA SCAN.

Lattice parameters (Å, degrees): 3.7195 3.7211 4.8081 112.77 112.76 90.00
Each line ends with the local moment (μB).
Fractional positions:
Re 0.2500 0.2500 0.5001  0.14
Co 0.0000 0.5000 0.0000  1.76
Re 0.7500 0.7500 0.4999  0.14
Au 0.5000 0.0000 0.0000  0.04

The calculation puts the energy relative to the lowest polymorph listed for this composition at 0.0 kJ per mole of atoms. The value obtained for the formation enthalpy at 0 K is 1.3 eV/f.u.

***

# 12
ZnTePb: PBEsol geometry, meta-GGA SCAN.

Lattice parameters (Å, degrees): 3.2011 5.2183 5.2183 120.00 90.00 90.00
Fractional positions:
Pb 0.9981 0.0000 0.0000
Te 0.5408 0.3333 0.6667
Zn 0.4610 0.6667 0.3333

The calculation puts the energy relative to the lowest polymorph listed for this composition at 0.9 kJ per mole of atoms. The value obtained for the uncorrected formation energy is 236 meV per atom.

***

# 13
LiScRu2: PBEsol geometry, meta-GGA SCAN.

Lattice parameters (Å, degrees): 2.8677 2.8677 8.5471 80.34 80.34 60.00
Fractional positions:
Ru 0.7510 0.7510 0.7470
Li 0.0000 0.0000 0.0000
Ru 0.2490 0.2490 0.2530
Sc 0.5000 0.5000 0.5000

The value obtained for the formation enthalpy at 0 K is 0.4 eV/f.u.

***

# 14
TaIn2P: PBEsol geometry, meta-GGA SCAN.

Lattice parameters (Å, degrees): 3.1240 4.9698 5.0893 90.00 90.00 90.37
Fractional positions:
P 0.5000 0.0000 0.5000
In 0.2019 0.2491 0.0000
Ta 0.5000 0.5000 0.5000
In 0.7981 0.7509 0.0000

The value obtained for the formation enthalpy at 0 K is 1.3 eV/f.u.

***

# 15
Mg2CoNi: PBEsol geometry, meta-GGA SCAN.

Lattice parameters (Å, degrees): 2.7661 2.7661 8.4874 80.62 80.62 60.00
Each line ends with the local moment (μB).
Fractional positions:
Ni 0.5000 0.5000 0.5000  0.21
Co 0.0000 0.0000 0.0000  1.53
Mg 0.2493 0.2493 0.2522  -0.01
Mg 0.7507 0.7507 0.7478  -0.01

The calculation puts the energy relative to the lowest polymorph listed for this composition at 15.1 kJ per mole of atoms. The value obtained for the formation enthalpy at 0 K is 0.6 eV/f.u.

***

# 16
LiMnP3O9: PBEsol geometry, meta-GGA SCAN.

Lattice parameters (Å, degrees): 6.0166 6.0166 6.0166 109.27 109.27 109.27
Each line ends with the local moment (μB).
Fractional positions:
Li 0.0015 0.0015 0.0015  0.00
P 0.4833 0.0063 0.9219  0.01
O 0.2109 0.8464 0.6457  0.00
O 0.5898 0.8114 0.9102  0.02
O 0.4498 0.1488 0.1562  0.02
Mn 0.5039 0.5039 0.5039  4.65
O 0.8464 0.6457 0.2109  0.00
O 0.8114 0.9102 0.5898  0.02
P 0.9219 0.4833 0.0063  0.01
O 0.1488 0.1562 0.4498  0.02
O 0.6457 0.2109 0.8464  0.00
O 0.9102 0.5898 0.8114  0.02
P 0.0063 0.9219 0.4833  0.01
O 0.1562 0.4498 0.1488  0.02

The calculation puts the energy relative to the lowest polymorph listed for this composition at 8.2 kJ per mole of atoms. The value obtained for the uncorrected formation energy is -2345 meV per atom.

***

# 17
UFe3B2: PBEsol geometry, meta-GGA SCAN.

Lattice parameters (Å, degrees): 2.7945 5.0378 5.0378 120.00 90.00 90.00
Fractional positions:
B 0.0000 0.3333 0.6667
Fe 0.5000 0.0000 0.5000
Fe 0.5000 0.5000 0.0000
U 0.0000 0.0000 0.0000
B 0.0000 0.6667 0.3333
Fe 0.5000 0.5000 0.5000

The value obtained for the formation enthalpy at 0 K is -1.7 eV/f.u.

***

# 18
FeTcPb2: PBEsol geometry, meta-GGA SCAN.

Lattice parameters (Å, degrees): 3.1061 3.1061 8.2837 90.00 90.00 90.00
Each line ends with the local moment (μB).
Fractional positions:
Pb 0.5000 0.5000 0.3107  -0.01
Fe 0.5000 0.5000 0.6998  2.54
Tc 0.0000 0.0000 0.5587  0.10
Pb 0.0000 0.0000 0.9308  -0.04

The calculation puts the energy relative to the lowest polymorph listed for this composition at 0.0 kJ per mole of atoms. The value obtained for the formation enthalpy at 0 K is 1.3 eV/f.u.

***

# 19
KTa2CoSe: PBEsol geometry, meta-GGA SCAN.

Lattice parameters (Å, degrees): 4.3971 4.8468 4.8468 90.00 90.00 90.00
Each line ends with the local moment (μB).
Fractional positions:
Ta 0.0000 0.5000 0.0000  -0.14
Co 0.5000 0.0000 0.0000  1.28
Se 0.0000 0.0000 0.0000  -0.02
K 0.5000 0.5000 0.5000  -0.01
Ta 0.0000 0.0000 0.5000  -0.14

The value obtained for the uncorrected formation energy is 1303 meV per atom.

***

# 20
CsSnB2: PBEsol geometry, meta-GGA SCAN.

Lattice parameters (Å, degrees): 5.1603 5.1603 8.1768 108.39 108.39 90.00
Fractional positions:
Cs 0.2500 0.7500 0.5000
B 0.1250 0.3750 0.7500
Sn 0.5000 0.5000 0.0000
Sn 0.7500 0.2500 0.5000
B 0.6250 0.3750 0.2500
Cs 0.0000 0.0000 0.0000
B 0.6250 0.3750 0.7500
B 0.6250 0.8750 0.2500

The value obtained for the formation enthalpy at 0 K is 4.9 eV/f.u.

***

# 21
Be2AgSb: PBEsol geometry, meta-GGA SCAN.

Lattice parameters (Å, degrees): 3.0277 3.0277 6.7685 90.00 90.00 90.03
Fractional positions:
Be 0.5000 0.5000 0.8180
Sb 0.0000 0.0000 0.5516
Be 0.0000 0.0000 0.9681
Ag 0.5000 0.5000 0.1623

The value obtained for the uncorrected formation energy is 395 meV per atom.

***

# 22
Hf2TiRhS: PBEsol geometry, meta-GGA SCAN.

Lattice parameters (Å, degrees): 4.2507 4.9588 4.9588 90.00 90.00 90.00
Fractional positions:
Rh 0.5000 0.0000 0.0000
Hf 0.0000 0.5000 0.0000
Ti 0.0000 0.0000 0.0000
S 0.5000 0.5000 0.5000
Hf 0.0000 0.0000 0.5000

The value obtained for the uncorrected formation energy is 731 meV per atom.

***

# 23
SnAsWBr2: PBEsol geometry, meta-GGA SCAN.

Lattice parameters (Å, degrees): 4.9209 5.0428 5.0428 90.00 90.00 90.00
Each line ends with the local moment (μB).
Fractional positions:
Br 0.0000 0.5000 0.0000  0.04
W 0.0000 0.0000 0.0000  1.44
Br 0.0000 0.0000 0.5000  0.04
Sn 0.5000 0.5000 0.5000  0.34
As 0.5000 0.0000 0.0000  -0.15

The value obtained for the uncorrected formation energy is 574 meV per atom.

***

# 24
SrZrZn3: PBEsol geometry, meta-GGA SCAN.

Lattice parameters (Å, degrees): 5.0349 5.0349 5.0349 90.00 90.00 90.00
Fractional positions:
Zn 0.0000 0.0000 0.5000
Zr 0.5000 0.5000 0.5000
Zn 0.5000 0.0000 0.0000
Zn 0.0000 0.5000 0.0000
Sr 0.0000 0.0000 0.0000

The value obtained for the formation enthalpy at 0 K is 6.3 eV/f.u.

***

# 25
Ba2FeCl: PBEsol geometry, meta-GGA SCAN.

Lattice parameters (Å, degrees): 3.5494 5.6184 5.6184 90.00 90.00 90.00
Each line ends with the local moment (μB).
Fractional positions:
Ba 0.0000 0.0000 0.5000  -0.17
Cl 0.5000 0.5000 0.5000  -0.02
Ba 0.0000 0.5000 0.0000  -0.17
Fe 0.5000 0.0000 0.0000  3.02

The calculation puts the energy relative to the lowest polymorph listed for this composition at 9.1 kJ per mole of atoms. The value obtained for the uncorrected formation energy is -454 meV per atom.

***

# 26
Cd2AgAu: PBEsol geometry, meta-GGA SCAN.

Lattice parameters (Å, degrees): 3.6803 4.4350 4.4350 90.11 90.00 90.00
Fractional positions:
Cd 0.0000 0.0000 0.5000
Au 0.5000 0.5000 0.5000
Cd 0.0000 0.5000 0.0000
Ag 0.5000 0.0000 0.0000

The calculation puts the energy relative to the lowest polymorph listed for this composition at 1.3 kJ per mole of atoms. The value obtained for the formation enthalpy at 0 K is -0.7 eV/f.u.

***

# 27
RbTl2Se2: PBEsol geometry, meta-GGA SCAN.

Lattice parameters (Å, degrees): 5.5064 5.5064 6.4066 115.45 115.45 90.00
Fractional positions:
Rb 0.0000 0.0000 0.0000
Tl 0.3511 0.3511 0.7021
Se 0.2500 0.7500 0.5000
Tl 0.6489 0.6489 0.2979
Se 0.7500 0.2500 0.5000

The value obtained for the uncorrected formation energy is -592 meV per atom.

***

# 28
YNi2Rh: PBEsol geometry, meta-GGA SCAN.

Lattice parameters (Å, degrees): 2.9074 3.6195 6.2909 90.00 117.48 90.00
Each line ends with the local moment (μB).
Fractional positions:
Ni 0.2100 0.0000 0.2101  0.59
Rh 0.5000 0.5000 0.0000  0.48
Ni 0.7900 0.0000 0.7899  0.59
Y 0.0000 0.5000 0.5000  -0.15

The value obtained for the formation enthalpy at 0 K is -0.4 eV/f.u.

***

| no. | total DFT energy (no corrections) (Ha/atom) |
| --- | --- |
| 1 | -1.279 |
| 2 | -0.804 |
| 3 | -1.139 |
| 4 | -1.357 |
| 5 | -0.398 |
| 6 | -0.293 |
| 7 | -0.757 |
| 8 | -1.084 |
| 9 | -0.623 |
| 10 | -1.319 |
| 11 | -2.089 |
| 12 | -1.542 |
| 13 | -0.789 |
| 14 | -1.308 |
| 15 | -0.393 |
| 16 | -0.369 |
| 17 | -1.069 |
| 18 | -1.869 |
| 19 | -1.267 |
| 20 | -0.769 |
| 21 | -0.696 |
| 22 | -1.331 |
| 23 | -1.190 |
| 24 | -0.641 |
| 25 | -0.983 |
| 26 | -1.488 |
| 27 | -1.533 |
| 28 | -0.867 |